Here is an optimized crystal structure of BrF from Alexandria via LeMat-Bulk. Energies are from PBE.

## Properties
ΔE_f (raw): -32.0 kJ/mol of atoms

```
data_BrF
_chemical_formula_sum 'Br2 F2'
_symmetry_space_group_name_H-M 'P 63 m c'
_symmetry_Int_Tables_number 186
_symmetry_space_group_name_Hall 'P 6c -2c'
_cell_length_a 4.2033
_cell_length_b 4.2033
_cell_length_c 8.3645
_cell_angle_alpha 90.00
_cell_angle_beta 90.00
_cell_angle_gamma 120.00
loop_
_atom_site_label
_atom_site_type_symbol
_atom_site_fract_x
_atom_site_fract_y
_atom_site_fract_z
Br1 Br 0.3333 0.6667 0.0000
F1 F 0.3333 0.6667 0.7840
```

***

Here is an optimized crystal structure of TmSO4 from Alexandria via LeMat-Bulk. Energies are from PBE.

## Properties
ΔE_f (raw): -181.4 kJ/mol of atoms

```
data_TmSO4
_chemical_formula_sum 'Tm2 S2 O8'
_symmetry_space_group_name_H-M 'P 2 2 2'
_symmetry_Int_Tables_number 16
_cell_length_a 5.9348
_cell_length_b 5.9555
_cell_length_c 6.2062
_cell_angle_alpha 90.00
_cell_angle_beta 90.00
_cell_angle_gamma 90.00
loop_
_symmetry_equiv_pos_as_xyz
'x,y,z'
'-x,-y,z'
'x,-y,-z'
'-x,y,-z'
loop_
_atom_site_label
_atom_site_type_symbol
_atom_site_fract_x
_atom_site_fract_y
_atom_site_fract_z
Tm1 Tm 0.0000 0.0000 0.0000
Tm2 Tm 0.5000 0.0000 0.5000
S1 S 0.0000 0.0000 0.5000
S2 S 0.0000 0.5000 0.0000
O1 O 0.1445 0.3464 0.1319
O2 O 0.2124 0.0776 0.6958
```

***

Here is an optimized crystal structure of Ba2Li5Pt5 from Alexandria via LeMat-Bulk. Energies are from PBE.

## Properties
DOS(E_F): 3.5 states/eV per cell
E: -4.25 eV/atom

```
data_Ba2Li5Pt5
_chemical_formula_sum 'Ba2 Li5 Pt5'
_symmetry_space_group_name_H-M 'P m m m'
_symmetry_Int_Tables_number 47
_cell_length_a 4.1619
_cell_length_b 5.6341
_cell_length_c 9.6379
_cell_angle_alpha 90.00
_cell_angle_beta 90.00
_cell_angle_gamma 90.00
loop_
_symmetry_equiv_pos_as_xyz
'x,y,z'
'-x,-y,-z'
'-x,-y,z'
'x,y,-z'
'x,-y,-z'
'-x,y,z'
'-x,y,-z'
'x,-y,z'
loop_
_atom_site_label
_atom_site_type_symbol
_atom_site_fract_x
_atom_site_fract_y
_atom_site_fract_z
Ba1 Ba 0.0000 0.0000 0.0000
Ba2 Ba 0.0000 0.5000 0.5000
Li1 Li 0.0000 0.0000 0.3142
Li2 Li 0.0000 0.5000 0.1671
Li3 Li 0.5000 0.0000 0.5000
Pt1 Pt 0.5000 0.2481 0.2505
Pt2 Pt 0.5000 0.5000 0.0000
```